## BaTm2CoO5 (PBE with a Hubbard U)

Data for BaTm2CoO5 after structural relaxation.

Summary:
space group = No. 62
relative energy among the computed polymorphs = 0.000 eV/atom
DOS at the Fermi energy = 0.0 states/eV/cell
calculated density = 8.3 g cm⁻³

abc: 5.6998 7.0479 12.2362
angles: 90.00 90.00 90.00
With the nearest neighbours (Å) after each atom.
Fractional coordinates of all 36 atoms:
O  0.5005  0.8628  0.2752  1 Co 2.11, 2 Tm 2.31-2.34
Tm  0.2500  0.1198  0.2914  7 O 2.28-2.37
Tm  0.7500  0.5982  0.9257  7 O 2.28-2.34
O  0.5017  0.1639  0.4340  1 Co 2.04, 1 Tm 2.28
Tm  0.2500  0.4018  0.0743  7 O 2.28-2.34
O  0.4995  0.3628  0.2248  1 Co 2.11, 2 Tm 2.31-2.34
O  0.9995  0.8628  0.2752  1 Co 2.11, 2 Tm 2.31-2.34
Tm  0.2500  0.3802  0.7914  7 O 2.28-2.37
O  0.0017  0.8361  0.5660  1 Co 2.04, 1 Tm 2.28
O  0.4995  0.1372  0.7248  1 Co 2.11, 2 Tm 2.31-2.34
O  0.5005  0.6372  0.7752  1 Co 2.11, 2 Tm 2.31-2.34
O  0.0017  0.6639  0.0660  1 Co 2.04, 1 Tm 2.28
Co  0.2500  0.6925  0.6524  5 O 2.01-2.11
Co  0.7500  0.1925  0.8476  5 O 2.01-2.11
Tm  0.7500  0.8802  0.7086  7 O 2.28-2.37
O  0.7500  0.9209  0.8969  1 Co 2.01
Ba  0.2500  0.9207  0.8994  7 O 2.73-2.99
O  0.2500  0.0791  0.1031  1 Co 2.01
Ba  0.7500  0.0793  0.1006  7 O 2.73-2.99
Ba  0.2500  0.5793  0.3994  7 O 2.73-2.99
O  0.4983  0.6639  0.0660  1 Co 2.04, 1 Tm 2.28
O  0.9995  0.6372  0.7752  1 Co 2.11, 2 Tm 2.31-2.34
O  0.4983  0.8361  0.5660  1 Co 2.04, 1 Tm 2.28
Co  0.7500  0.3075  0.3476  5 O 2.01-2.11
O  0.7500  0.5791  0.3969  1 Co 2.01
O  0.9983  0.3361  0.9340  1 Co 2.04, 1 Tm 2.28
Tm  0.7500  0.9018  0.4257  7 O 2.28-2.34
Tm  0.2500  0.0982  0.5743  7 O 2.28-2.34
O  0.0005  0.1372  0.7248  1 Co 2.11, 2 Tm 2.31-2.34
O  0.0005  0.3628  0.2248  1 Co 2.11, 2 Tm 2.31-2.34
O  0.9983  0.1639  0.4340  1 Co 2.04, 1 Tm 2.28
Ba  0.7500  0.4207  0.6006  7 O 2.73-2.99
Tm  0.7500  0.6198  0.2086  7 O 2.28-2.37
O  0.2500  0.4209  0.6031  1 Co 2.01
O  0.5017  0.3361  0.9340  1 Co 2.04, 1 Tm 2.28
Co  0.2500  0.8075  0.1524  5 O 2.01-2.11